# LaCe2Tm PBE optimized geometry
# Energy relative to the elements: 188 meV/atom
# ΔE to the lowest computed polymorph: 0.084 eV per atom
# Total magnetization: 0.8 μB/f.u.
data_LaCe2Tm
_chemical_formula_sum 'La3 Ce6 Tm3'
_cell_length_a 3.3712
_cell_length_b 3.3712
_cell_length_c 36.6573
_cell_angle_alpha 90.00
_cell_angle_beta 90.00
_cell_angle_gamma 120.00
_symmetry_space_group_name_H-M 'R -3 m'
_symmetry_Int_Tables_number 166
_symmetry_space_group_name_Hall '-R 3 2"'
loop_
_atom_site_label
_atom_site_fract_x
_atom_site_fract_y
_atom_site_fract_z
_atom_site_occupancy
La1 0.0000 0.0000 0.0000 1
Ce1 0.0000 0.0000 0.0874 1
Tm1 0.0000 0.0000 0.5000 1